No. 1
FeTc2Ru GGA-PBE relaxed; symmetry = Cmmm (65); energy of formation from the pure elements = 0.301 eV per atom; energy = -37.3 eV/cell; crystal system = orthorhombic
1.0
2.638 -0.029 0.000
-1.016 2.435 0.000
0.000 0.000 8.786
Ru Tc Fe
1 2 1
direct
0.500 0.500 0.750
0.000 0.000 0.494
0.000 0.000 0.006
0.500 0.500 0.250

***

No. 2
Ce2GdZn GGA-PBE relaxed; symmetry = P4/mmm (123); energy of formation from the pure elements = -0.009 eV per atom; energy = -27.3 eV/cell; crystal system = tetragonal
1.0
-2.612 0.333 -2.439
1.974 -1.841 -2.366
-3.503 -7.298 2.755
Ce Zn Gd
2 1 1
direct
0.000 0.000 0.211
0.000 0.000 0.789
0.500 0.500 0.000
0.500 0.500 0.500

***

No. 3
NaTl5In6 GGA-PBE relaxed; symmetry = C2/m (12); energy of formation from the pure elements = -0.006 eV per atom; energy = -29.6 eV/cell; crystal system = monoclinic
1.0
-5.370 -0.245 -1.646
3.735 -7.527 -0.401
0.801 -1.392 8.257
In Na Tl
6 1 5
direct
0.750 0.253 0.253
0.749 0.915 0.581
0.251 0.419 0.085
0.749 0.581 0.915
0.250 0.747 0.747
0.251 0.085 0.419
0.000 0.000 0.000
0.500 0.500 0.500
0.500 0.165 0.835
0.500 0.835 0.165
0.000 0.329 0.671
0.000 0.671 0.329

***

No. 4
RbLaAl2Bi GGA-PBE relaxed; symmetry = P4/mmm (123); energy of formation from the pure elements = 0.753 eV per atom; energy = -13.5 eV/cell; crystal system = tetragonal
1.0
-3.121 4.001 2.170
-0.240 -3.077 5.328
4.546 2.616 1.716
Al Bi Rb La
2 1 1 1
direct
0.500 0.000 0.000
0.000 0.000 0.500
0.000 0.000 0.000
0.000 0.500 0.000
0.500 0.500 0.500

***

No. 5
MgRe2Se GGA-PBE relaxed; symmetry = P4/mmm (123); raw formation energy = 0.67 eV per atom; energy = -27.3 eV/cell; crystal system = tetragonal
1.0
3.059 0.000 0.000
0.000 3.059 0.000
0.000 0.000 6.747
Mg Re Se
1 2 1
direct
0.500 0.500 0.750
0.000 0.000 0.469
0.000 0.000 0.031
0.500 0.500 0.250

***

No. 6
Al2RhPb GGA-PBE relaxed; symmetry = P4/mmm (123); energy of formation from the pure elements = 0.084 eV per atom; energy = -18.2 eV/cell; crystal system = tetragonal
1.0
-1.484 -3.853 1.203
3.235 -1.902 -2.101
2.210 0.165 3.254
Al Rh Pb
2 1 1
direct
0.500 0.500 0.000
0.000 0.000 0.000
0.000 0.500 0.500
0.500 0.000 0.500